Computed, not measured: a relaxed CeDyInGe crystal at the PBE level of DFT.

Its total energy is -19.69 eV per formula unit. The formation energy comes out at -449 meV per atom. The space group is F-43m, No. 216.

abc: 5.250 5.250 5.250
angles: 60.00 60.00 60.00
Each line ends with the local moment (μB).
Sites, in units of the cell vectors:
Ge1 0.250 0.250 0.250  0.01
In1 0.750 0.750 0.750  0.01
Ce1 0.500 0.500 0.500  0.75
Dy1 0.000 0.000 0.000  0.08

Computed, not measured: a relaxed NpAl3Pt crystal at the PBE level of DFT.

Its total energy is -32.90 eV per formula unit. The formation energy comes out at -539 meV per atom. The space group is Pnma, No. 62.

abc: 3.529 8.414 11.767
angles: 90.00 90.00 90.00
Sites, in units of the cell vectors:
Np1 0.750 0.903 0.994
Np2 0.250 0.597 0.494
Np3 0.750 0.403 0.506
Np4 0.250 0.097 0.006
Al1 0.250 0.579 0.080
Al2 0.750 0.421 0.920
Al3 0.250 0.079 0.420
Al4 0.750 0.921 0.580
Al5 0.250 0.404 0.721
Al6 0.750 0.096 0.221
Al7 0.250 0.904 0.779
Al8 0.750 0.653 0.708
Al9 0.250 0.347 0.292
Al10 0.750 0.153 0.792
Al11 0.750 0.596 0.279
Al12 0.250 0.847 0.208
Pt1 0.250 0.131 0.632
Pt2 0.250 0.631 0.868
Pt3 0.750 0.369 0.132
Pt4 0.750 0.869 0.368

Computed, not measured: a relaxed KBa2La2 crystal at the PBE level of DFT.

Its total energy is -13.26 eV per formula unit. The formation energy comes out at 308 meV per atom. The space group is I4/mmm, No. 139.

abc: 4.627 4.627 14.156
angles: 80.59 80.59 90.00
Sites, in units of the cell vectors:
K1 0.000 0.000 0.000
Ba1 0.376 0.376 0.248
Ba2 0.624 0.624 0.752
La1 0.750 0.250 0.500
La2 0.250 0.750 0.500

Computed, not measured: a relaxed Ca2MgTcO6 crystal at the PBE level of DFT.

Its total energy is -69.22 eV per formula unit. As for the uncorrected formation energy: -2.350 eV per atom. The space group is P2_1/c, No. 14.

abc: 5.430 5.603 7.753
angles: 90.00 89.99 90.00
Each line ends with the local moment (μB).
Sites, in units of the cell vectors:
Ca1 0.012 0.946 0.252  0.01
Ca2 0.512 0.554 0.752  0.01
Ca3 0.988 0.054 0.748  0.01
Ca4 0.488 0.446 0.248  0.01
Mg1 0.500 0.000 0.000  0.00
Mg2 0.000 0.500 0.500  0.00
Tc1 0.500 0.000 0.500  0.79
Tc2 0.000 0.500 0.000  0.79
O1 0.288 0.695 0.044  0.02
O2 0.788 0.805 0.544  0.02
O3 0.712 0.305 0.956  0.02
O4 0.212 0.195 0.456  0.02
O5 0.308 0.715 0.450  0.01
O6 0.808 0.785 0.950  0.01
O7 0.692 0.285 0.550  0.01
O8 0.192 0.215 0.050  0.01
O9 0.911 0.527 0.241  0.02
O10 0.411 0.973 0.741  0.02
O11 0.089 0.473 0.759  0.02
O12 0.589 0.027 0.259  0.02

| no. | density (g/cm3) |
| --- | --- |
| 1 | 7.951 |
| 2 | 9.753 |
| 3 | 3.332 |
| 4 | 4.202 |